Sm6GeS5 (PBE, relaxed); mass density = 6.65 g/cm³; uncorrected formation energy = -1.8644 eV/atom; E_tot = -6.329 eV per atom; space-group type = No. 12
1.0
-0.4684 -6.6222 2.3477
4.1265 -0.7674 5.6229
-2.5538 1.2218 6.4190
S Sm Ge
5 6 1
direct
0.5000 0.5000 0.0000
0.0000 0.3328 0.3344
0.5000 0.1654 0.6693
0.5000 0.8346 0.3307
0.0000 0.6672 0.6656
0.7496 0.0833 0.3335
0.2488 0.2511 0.0000
0.7496 0.4168 0.6665
0.7512 0.7489 0.0000
0.2504 0.5832 0.3335
0.2504 0.9167 0.6665
0.0000 0.0000 0.0000

---

NdYAlSn (PBE, relaxed); energy of formation = -0.6221 eV/atom; mass density = 5.67 g/cm³; E_tot = -5.366 eV per atom; space-group type = No. 38
1.0
-2.1459 -3.4965 -1.9960
0.0493 -2.1290 3.6766
-3.9804 4.0501 2.3986
Nd Al Sn Y
1 1 1 1
direct
0.1390 0.0000 0.2781
0.5800 0.5000 0.1600
0.4212 0.0000 0.8425
0.8597 0.5000 0.7194

---

TaTl2Cl (PBE, relaxed); mass density = 10.99 g/cm³; energy relative to the lowest polymorph listed for this composition = 629 meV per atom; uncorrected formation energy = 0.5353 eV/atom; E_tot = -4.073 eV per atom; space-group type = No. 47
1.0
-0.4748 3.0508 0.5631
-3.0657 0.3801 -4.6446
-4.4341 -1.2120 2.8276
Tl Cl Ta
2 1 1
direct
0.0000 0.0000 0.0000
0.5000 0.5000 0.0000
0.5000 0.0000 0.5000
0.0000 0.5000 0.5000

---

RbScPdF2 (PBE, relaxed); mass density = 3.79 g/cm³; uncorrected formation energy = -0.6394 eV/atom; E_tot = -3.886 eV per atom; space-group type = No. 123
1.0
-2.3601 -2.4243 -3.3442
4.3899 -0.1160 -3.0140
1.2990 -4.0918 2.0495
Pd F Sc Rb
1 2 1 1
direct
0.0000 0.5000 0.0000
0.5000 0.0000 0.0000
0.0000 0.0000 0.5000
0.5000 0.5000 0.5000
0.0000 0.0000 0.0000

---

ScTeCl3 (PBE, relaxed); mass density = 2.77 g/cm³; energy relative to the lowest polymorph listed for this composition = 1112 meV per atom; uncorrected formation energy = 0.0563 eV/atom; E_tot = -2.946 eV per atom; space-group type = No. 221
1.0
5.5074 0.0000 0.0000
0.0000 5.5074 0.0000
0.0000 0.0000 5.5074
Cl Sc Te
3 1 1
direct
0.0000 0.0000 0.5000
0.0000 0.5000 0.0000
0.5000 0.0000 0.0000
0.5000 0.5000 0.5000
0.0000 0.0000 0.0000

---

DyVH3 (PBE, relaxed); mass density = 7.62 g/cm³; E_tot = -5.076 eV per atom; space-group type = No. 221
1.0
3.6138 0.0000 0.0000
0.0000 3.6138 0.0000
0.0000 0.0000 3.6138
H V Dy
3 1 1
direct
0.0000 0.5000 0.0000
0.0000 0.0000 0.5000
0.5000 0.0000 0.0000
0.0000 0.0000 0.0000
0.5000 0.5000 0.5000

---

Tb2CeSmSb4 (PBE, relaxed); mass density = 7.33 g/cm³; uncorrected formation energy = -1.1309 eV/atom; E_tot = -5.681 eV per atom; space-group type = No. 10
1.0
-3.4074 0.5246 -2.8009
3.2664 -4.9459 -4.9000
-2.4045 -7.1366 1.5886
Sb Tb Sm Ce
4 2 1 1
direct
0.0000 0.2459 0.2519
0.5000 0.7546 0.2484
0.5000 0.2454 0.7516
0.0000 0.7541 0.7481
0.5000 0.0000 0.5000
0.0000 0.0000 0.0000
0.5000 0.5000 0.0000
0.0000 0.5000 0.5000

---

K2SiTe (PBE, relaxed); mass density = 3.28 g/cm³; energy relative to the lowest polymorph listed for this composition = 171 meV per atom; uncorrected formation energy = -0.0870 eV/atom; E_tot = -2.777 eV per atom; space-group type = No. 139
1.0
-5.9327 -1.6446 1.2839
-3.4062 -2.0587 -4.8692
5.6663 -1.2662 2.4165
Te K Si
1 2 1
direct
0.2500 0.7500 0.5000
0.9999 0.9999 0.0000
0.5001 0.5001 0.0000
0.7500 0.2500 0.5000

---

Hf2NbCu2 (PBE, relaxed); energy of formation = 0.1734 eV/atom; mass density = 10.80 g/cm³; energy relative to the lowest polymorph listed for this composition = 184 meV per atom; E_tot = -7.460 eV per atom; space-group type = No. 127
1.0
7.6093 0.0000 0.0000
0.0000 7.6093 0.0000
0.0000 0.0000 3.0656
Nb Cu Hf
2 4 4
direct
0.0000 0.0000 0.0000
0.5000 0.5000 0.0000
0.3669 0.1331 0.5000
0.8669 0.3669 0.5000
0.1331 0.6331 0.5000
0.6331 0.8669 0.5000
0.3383 0.8383 0.0000
0.8383 0.6617 0.0000
0.1617 0.3383 0.0000
0.6617 0.1617 0.0000

---

Pu2AgPt (PBE, relaxed); energy of formation = 0.0747 eV/atom; mass density = 15.67 g/cm³; E_tot = -9.314 eV per atom; space-group type = No. 166
1.0
-2.3090 1.8096 0.1889
-2.2242 -0.2513 -1.9057
-6.6009 -6.6944 6.3193
Pu Pt Ag
2 1 1
direct
0.9090 0.9090 0.2730
0.0910 0.0910 0.7270
0.5000 0.5000 0.5000
0.0000 0.0000 0.0000

---

LaSbCl3 (PBE, relaxed); mass density = 3.39 g/cm³; uncorrected formation energy = -1.3015 eV/atom; E_tot = -4.219 eV per atom; space-group type = No. 221
1.0
-5.3202 0.5061 1.8159
-1.4667 -4.5270 -3.0354
1.1843 -3.3329 4.3985
Cl Sb La
3 1 1
direct
0.0000 0.5000 0.0000
0.5000 0.0000 0.0000
0.0000 0.0000 0.5000
0.5000 0.5000 0.5000
0.0000 0.0000 0.0000

---

Cr2Os2Pt (PBE, relaxed); energy of formation = 0.1182 eV/atom; mass density = 16.01 g/cm³; energy relative to the lowest polymorph listed for this composition = 0 meV per atom; E_tot = -9.431 eV per atom; space-group type = No. 127
1.0
7.1673 0.0000 0.0000
0.0000 7.1673 0.0000
0.0000 0.0000 2.7436
Cr Pt Os
4 2 4
direct
0.3362 0.1638 0.5000
0.8362 0.3362 0.5000
0.1638 0.6638 0.5000
0.6638 0.8362 0.5000
0.5000 0.5000 0.0000
0.0000 0.0000 0.0000
0.3679 0.8679 0.0000
0.8679 0.6321 0.0000
0.1321 0.3679 0.0000
0.6321 0.1321 0.0000

---

La3ErTh2Sb6 (PBE, relaxed); mass density = 7.44 g/cm³; uncorrected formation energy = -1.1400 eV/atom; E_tot = -6.050 eV per atom; space-group type = No. 12
1.0
7.8525 -0.0056 -0.0007
-3.9293 6.7988 -0.0007
-1.3096 -2.2676 7.4364
Sb Th La Er
6 2 3 1
direct
0.9206 0.5923 0.7607
0.4077 0.0794 0.2393
0.7529 0.7529 0.2420
0.5923 0.9206 0.7607
0.0794 0.4077 0.2393
0.2471 0.2471 0.7580
0.3341 0.6659 0.0000
0.6659 0.3341 0.0000
0.1686 0.8314 0.5000
0.5000 0.5000 0.5000
0.8314 0.1686 0.5000
0.0000 0.0000 0.0000

---

ScOs4 (PBE, relaxed); energy of formation = 1.8606 eV/atom; mass density = 14.68 g/cm³; energy relative to the lowest polymorph listed for this composition = 1779 meV per atom; E_tot = -8.390 eV per atom; space-group type = No. 229
1.0
-2.8354 2.8354 2.8354
2.8354 -2.8354 2.8354
2.8354 2.8354 -2.8354
Os Sc
4 1
direct
0.0000 0.5000 0.0000
0.5000 0.5000 0.5000
0.5000 0.0000 0.0000
0.0000 0.0000 0.5000
0.0000 0.0000 0.0000

---

IrRuC3 (PBE, relaxed); energy of formation = 2.3624 eV/atom; mass density = 8.96 g/cm³; energy relative to the lowest polymorph listed for this composition = 0 meV per atom; E_tot = -6.799 eV per atom; space-group type = No. 221
1.0
-2.2582 0.0074 -3.2259
-0.4095 -3.9066 0.2777
-3.1999 0.4947 2.2411
Ru Ir C
1 1 3
direct
0.5000 0.5000 0.5000
0.0000 0.0000 0.0000
0.0000 0.5000 0.0000
0.0000 0.0000 0.5000
0.5000 0.0000 0.0000

---

Li2TeMo (PBE, relaxed); mass density = 5.30 g/cm³; uncorrected formation energy = 0.4022 eV/atom; E_tot = -4.048 eV per atom; space-group type = No. 122
1.0
-0.8927 -5.1625 -5.4321
3.9651 -4.9674 4.0693
-0.6637 -5.8858 0.4602
Li Mo Te
4 2 2
direct
0.1125 0.6250 0.2500
0.8750 0.8875 0.7500
0.6375 0.1250 0.2500
0.3750 0.3625 0.7500
0.5000 0.5000 0.0000
0.2500 0.7500 0.5000
0.0000 0.0000 0.0000
0.7500 0.2500 0.5000

---

RhCIO2 (PBE, relaxed); mass density = 7.19 g/cm³; energy relative to the lowest polymorph listed for this composition = 494 meV per atom; uncorrected formation energy = 1.4008 eV/atom; E_tot = -4.208 eV per atom; space-group type = No. 123
1.0
-1.7149 -2.0509 -2.5335
-2.2089 -1.3740 2.6075
-3.0350 3.4609 -0.7473
O Rh I C
2 1 1 1
direct
0.5000 0.0000 0.0000
0.0000 0.5000 0.0000
0.5000 0.5000 0.5000
0.0000 0.0000 0.5000
0.0000 0.0000 0.0000

---

Sc2BeC (PBE, relaxed); energy of formation = 0.2106 eV/atom; mass density = 2.79 g/cm³; energy relative to the lowest polymorph listed for this composition = 0 meV per atom; E_tot = -6.193 eV per atom; space-group type = No. 122
1.0
6.4038 0.0000 0.0000
0.0000 6.4038 0.0000
3.2019 3.2019 3.2179
Sc C Be
4 2 2
direct
0.3750 0.3146 0.7500
0.0646 0.6250 0.2500
0.6854 0.1250 0.2500
0.8750 0.9354 0.7500
0.0000 0.0000 0.0000
0.7500 0.2500 0.5000
0.5000 0.5000 0.0000
0.2500 0.7500 0.5000

---

Ac2Hg3Au6 (PBE, relaxed); energy of formation = -0.3991 eV/atom; mass density = 13.12 g/cm³; E_tot = -3.016 eV per atom; space-group type = No. 65
1.0
4.3390 0.0000 0.0000
0.0000 8.1766 0.5221
0.0000 1.4164 8.0699
Au Hg Ac
6 3 2
direct
0.5000 0.6109 0.6109
0.5000 0.3891 0.3891
0.5000 0.9804 0.3428
0.5000 0.0196 0.6572
0.5000 0.6572 0.0196
0.5000 0.3428 0.9804
0.5000 0.0000 0.0000
0.0000 0.2386 0.2386
0.0000 0.7614 0.7614
0.0000 0.2931 0.7069
0.0000 0.7069 0.2931

---

Fe3Co (PBE, relaxed); energy of formation = -0.0077 eV/atom; mass density = 8.15 g/cm³; E_tot = -8.131 eV per atom; space-group type = No. 65
1.0
2.4674 0.0047 0.0000
-0.8343 2.3221 0.0000
0.0000 0.0000 8.0481
Co Fe
1 3
direct
0.0000 0.0000 0.0000
0.5000 0.5000 0.2479
0.0000 0.0000 0.5000
0.5000 0.5000 0.7521

---

ZnInS3 (PBE, relaxed); mass density = 4.37 g/cm³; energy relative to the lowest polymorph listed for this composition = 572 meV per atom; uncorrected formation energy = 0.2816 eV/atom; E_tot = -2.997 eV per atom; space-group type = No. 221
1.0
-3.1206 -2.8985 -2.0281
1.5000 -3.5334 2.7418
-3.2038 1.1689 3.2591
Zn S In
1 3 1
direct
0.0000 0.0000 0.0000
0.0000 0.5000 0.0000
0.5000 0.0000 0.0000
0.0000 0.0000 0.5000
0.5000 0.5000 0.5000

---

PrSmCl2 (PBE, relaxed); mass density = 6.07 g/cm³; energy relative to the lowest polymorph listed for this composition = 0 meV per atom; uncorrected formation energy = -1.3605 eV/atom; E_tot = -4.658 eV per atom; space-group type = No. 160
1.0
-0.2692 -0.8210 -3.4806
0.6530 -3.3475 -1.1084
-8.4533 -3.4436 -0.3816
Pr Cl Sm
1 2 1
direct
0.5010 0.5010 0.4969
0.0814 0.0814 0.7558
0.2516 0.2516 0.2452
0.6660 0.6660 0.0021

---

K2ZrRh (PBE, relaxed); energy of formation = 0.8518 eV/atom; mass density = 4.49 g/cm³; energy relative to the lowest polymorph listed for this composition = 738 meV per atom; E_tot = -3.672 eV per atom; space-group type = No. 216
1.0
5.2244 -0.0106 0.0000
0.0168 5.2243 0.0000
-2.6206 -2.6069 3.6920
Zr K Rh
1 2 1
direct
0.7500 0.2500 0.5000
0.0000 0.0000 0.0000
0.2500 0.7500 0.5000
0.5000 0.5000 0.0000

---

ScCd3Hg3 (PBE, relaxed); energy of formation = -0.0876 eV/atom; mass density = 9.75 g/cm³; energy relative to the lowest polymorph listed for this composition = 0 meV per atom; E_tot = -1.514 eV per atom; space-group type = No. 12
1.0
6.5538 0.2698 -0.0009
0.2848 6.5532 -0.0009
0.0018 0.0018 7.8210
Hg Sc Cd
6 2 6
direct
0.9997 0.9997 0.7328
0.9995 0.5003 0.7551
0.0005 0.4997 0.2449
0.5003 0.9995 0.7551
0.4997 0.0005 0.2449
0.0003 0.0003 0.2672
0.2126 0.2126 0.9995
0.7874 0.7874 0.0005
0.3261 0.6739 0.0000
0.6739 0.3261 0.0000
0.7479 0.7479 0.4992
0.3021 0.6979 0.5000
0.2521 0.2521 0.5008
0.6979 0.3021 0.5000

---

BaZn2 (PBE, relaxed); energy of formation = 0.2536 eV/atom; mass density = 4.06 g/cm³; E_tot = -1.237 eV per atom; space-group type = No. 225
1.0
-2.3113 0.7776 4.7887
2.6655 -1.2293 4.5014
1.7649 3.9142 3.2315
Zn Ba
2 1
direct
0.7500 0.7500 0.7500
0.2500 0.2500 0.2500
0.0000 0.0000 0.0000

---

Pm2NiSe (PBE, relaxed); mass density = 7.76 g/cm³; energy relative to the lowest polymorph listed for this composition = 216 meV per atom; uncorrected formation energy = -0.8393 eV/atom; E_tot = -5.531 eV per atom; space-group type = No. 123
1.0
3.5809 0.0000 0.0000
0.0000 3.5809 0.0000
0.0000 0.0000 7.1406
Ni Pm Se
1 2 1
direct
0.5000 0.5000 0.0000
0.0000 0.0000 0.7641
0.0000 0.0000 0.2359
0.5000 0.5000 0.5000

---

Pu3Sn2Ge (PBE, relaxed); energy of formation = -0.3122 eV/atom; mass density = 11.68 g/cm³; E_tot = -9.582 eV per atom; space-group type = No. 123
1.0
4.0011 0.0000 0.0000
0.0000 4.0011 0.0000
0.0000 0.0000 9.2518
Pu Sn Ge
3 2 1
direct
0.0000 0.0000 0.3472
0.0000 0.0000 0.0000
0.0000 0.0000 0.6528
0.5000 0.5000 0.1728
0.5000 0.5000 0.8272
0.5000 0.5000 0.5000